Entry 1:
Crystalline SnHg3Pb2 at its relaxed geometry, computed with PBE-GGA.

Results
Energy relative to the elements ... 0.11 eV/atom
Calculated total energy ... -1.941 eV per atom
Polymorph energy (0 for the lowest one) ... 6.0 kJ/mol of atoms

Cell and atoms, written as CIF:
```
data_SnHg3Pb2
_cell_length_a 8.182
_cell_length_b 8.182
_cell_length_c 6.141
_cell_angle_alpha 90.00
_cell_angle_beta 90.00
_cell_angle_gamma 66.03
_symmetry_space_group_name_H-M 'P 1'
_symmetry_Int_Tables_number 1
loop_
_symmetry_equiv_pos_as_xyz
'x,y,z'
loop_
_atom_site_label
_atom_site_type_symbol
_atom_site_fract_x
_atom_site_fract_y
_atom_site_fract_z
Sn1 Sn 0.155 0.845 0.500
Sn2 Sn 0.845 0.155 0.000
Hg1 Hg 0.176 0.824 0.992
Hg2 Hg 0.334 0.446 0.738
Hg3 Hg 0.446 0.334 0.238
Hg4 Hg 0.554 0.666 0.738
Hg5 Hg 0.666 0.554 0.238
Hg6 Hg 0.824 0.176 0.492
Pb1 Pb 0.044 0.556 0.278
Pb2 Pb 0.444 0.956 0.278
Pb3 Pb 0.556 0.044 0.778
Pb4 Pb 0.956 0.444 0.778
```

Entry 2:
Crystalline Sn2Hg2Pb3 at its relaxed geometry, computed with PBE-GGA.

Results
Energy relative to the elements ... 0.05 eV/atom
Calculated total energy ... -2.771 eV per atom
Polymorph energy (0 for the lowest one) ... 0.0 kJ/mol of atoms

Cell and atoms, written as CIF:
```
data_Sn2Hg2Pb3
_cell_length_a 11.985
_cell_length_b 11.985
_cell_length_c 11.985
_cell_angle_alpha 163.59
_cell_angle_beta 155.56
_cell_angle_gamma 29.58
_symmetry_space_group_name_H-M 'P 1'
_symmetry_Int_Tables_number 1
loop_
_symmetry_equiv_pos_as_xyz
'x,y,z'
loop_
_atom_site_label
_atom_site_type_symbol
_atom_site_fract_x
_atom_site_fract_y
_atom_site_fract_z
Sn1 Sn 0.071 0.071 0.000
Sn2 Sn 0.929 0.929 0.000
Hg1 Hg 0.355 0.855 0.500
Hg2 Hg 0.645 0.145 0.500
Pb1 Pb 0.209 0.709 0.500
Pb2 Pb 0.500 0.500 0.000
Pb3 Pb 0.791 0.291 0.500
```

Entry 3:
Crystalline SnHgPb2 at its relaxed geometry, computed with PBE-GGA.

Results
Energy relative to the elements ... 0.08 eV/atom
Calculated total energy ... -2.854 eV per atom
Polymorph energy (0 for the lowest one) ... 5.3 kJ/mol of atoms

Cell and atoms, written as CIF:
```
data_SnHgPb2
_cell_length_a 12.191
_cell_length_b 12.191
_cell_length_c 12.191
_cell_angle_alpha 15.95
_cell_angle_beta 15.95
_cell_angle_gamma 15.95
_symmetry_space_group_name_H-M 'P 1'
_symmetry_Int_Tables_number 1
loop_
_symmetry_equiv_pos_as_xyz
'x,y,z'
loop_
_atom_site_label
_atom_site_type_symbol
_atom_site_fract_x
_atom_site_fract_y
_atom_site_fract_z
Sn1 Sn 0.000 0.000 0.000
Hg1 Hg 0.500 0.500 0.500
Pb1 Pb 0.088 0.088 0.088
Pb2 Pb 0.912 0.912 0.912
```

Entry 4:
Crystalline SnHgPb at its relaxed geometry, computed with PBE-GGA.

Results
Energy relative to the elements ... 0.03 eV/atom
Calculated total energy ... -2.641 eV per atom
Polymorph energy (0 for the lowest one) ... 0.0 kJ/mol of atoms

Cell and atoms, written as CIF:
```
data_SnHgPb
_cell_length_a 5.067
_cell_length_b 4.379
_cell_length_c 15.391
_cell_angle_alpha 90.00
_cell_angle_beta 90.00
_cell_angle_gamma 90.00
_symmetry_space_group_name_H-M 'P 1'
_symmetry_Int_Tables_number 1
loop_
_symmetry_equiv_pos_as_xyz
'x,y,z'
loop_
_atom_site_label
_atom_site_type_symbol
_atom_site_fract_x
_atom_site_fract_y
_atom_site_fract_z
Sn1 Sn 0.250 0.250 0.008
Sn2 Sn 0.250 0.750 0.508
Sn3 Sn 0.750 0.250 0.492
Sn4 Sn 0.750 0.750 0.992
Hg1 Hg 0.249 0.250 0.668
Hg2 Hg 0.251 0.750 0.168
Hg3 Hg 0.749 0.250 0.832
Hg4 Hg 0.751 0.750 0.332
Pb1 Pb 0.249 0.750 0.838
Pb2 Pb 0.251 0.250 0.338
Pb3 Pb 0.749 0.750 0.662
Pb4 Pb 0.751 0.250 0.162
```

Entry 5:
Crystalline Sn2HgPb at its relaxed geometry, computed with PBE-GGA.

Results
Energy relative to the elements ... 0.50 eV/atom
Calculated total energy ... -2.500 eV per atom
Polymorph energy (0 for the lowest one) ... 44.9 kJ/mol of atoms

Cell and atoms, written as CIF:
```
data_Sn2HgPb
_cell_length_a 11.088
_cell_length_b 11.088
_cell_length_c 11.088
_cell_angle_alpha 151.64
_cell_angle_beta 151.64
_cell_angle_gamma 40.54
_symmetry_space_group_name_H-M 'P 1'
_symmetry_Int_Tables_number 1
loop_
_symmetry_equiv_pos_as_xyz
'x,y,z'
loop_
_atom_site_label
_atom_site_type_symbol
_atom_site_fract_x
_atom_site_fract_y
_atom_site_fract_z
Sn1 Sn 0.000 0.000 0.000
Sn2 Sn 0.000 0.000 0.500
Sn3 Sn 0.000 0.500 0.000
Sn4 Sn 0.500 0.000 0.500
Hg1 Hg 0.125 0.875 0.250
Hg2 Hg 0.875 0.125 0.750
Pb1 Pb 0.375 0.625 0.750
Pb2 Pb 0.625 0.375 0.250
```

Entry 6:
Crystalline SnHgPb2 at its relaxed geometry, computed with PBE-GGA.

Results
Energy relative to the elements ... 0.25 eV/atom
Calculated total energy ... -2.684 eV per atom
Polymorph energy (0 for the lowest one) ... 21.7 kJ/mol of atoms

Cell and atoms, written as CIF:
```
data_SnHgPb2
_cell_length_a 8.056
_cell_length_b 8.056
_cell_length_c 8.056
_cell_angle_alpha 127.35
_cell_angle_beta 127.35
_cell_angle_gamma 77.67
_symmetry_space_group_name_H-M 'P 1'
_symmetry_Int_Tables_number 1
loop_
_symmetry_equiv_pos_as_xyz
'x,y,z'
loop_
_atom_site_label
_atom_site_type_symbol
_atom_site_fract_x
_atom_site_fract_y
_atom_site_fract_z
Sn1 Sn 0.000 0.000 0.000
Sn2 Sn 0.750 0.250 0.500
Hg1 Hg 0.250 0.750 0.500
Hg2 Hg 0.500 0.500 0.000
Pb1 Pb 0.124 0.625 0.999
Pb2 Pb 0.375 0.374 0.499
Pb3 Pb 0.626 0.125 0.001
Pb4 Pb 0.875 0.876 0.501
```

Entry 7:
Crystalline Sn2HgPb at its relaxed geometry, computed with PBE-GGA.

Results
Energy relative to the elements ... 0.06 eV/atom
Calculated total energy ... -2.940 eV per atom
Polymorph energy (0 for the lowest one) ... 2.5 kJ/mol of atoms

Cell and atoms, written as CIF:
```
data_Sn2HgPb
_cell_length_a 4.006
_cell_length_b 4.006
_cell_length_c 6.943
_cell_angle_alpha 90.00
_cell_angle_beta 90.00
_cell_angle_gamma 90.00
_symmetry_space_group_name_H-M 'P 1'
_symmetry_Int_Tables_number 1
loop_
_symmetry_equiv_pos_as_xyz
'x,y,z'
loop_
_atom_site_label
_atom_site_type_symbol
_atom_site_fract_x
_atom_site_fract_y
_atom_site_fract_z
Sn1 Sn 0.000 0.000 0.229
Sn2 Sn 0.000 0.000 0.771
Hg1 Hg 0.500 0.500 0.000
Pb1 Pb 0.500 0.500 0.500
```

Entry 8:
Crystalline Sn2Hg4Pb3 at its relaxed geometry, computed with PBE-GGA.

Results
Energy relative to the elements ... 0.06 eV/atom
Calculated total energy ... -2.199 eV per atom

Cell and atoms, written as CIF:
```
data_Sn2Hg4Pb3
_cell_length_a 7.319
_cell_length_b 7.319
_cell_length_c 10.107
_cell_angle_alpha 97.52
_cell_angle_beta 97.52
_cell_angle_gamma 101.05
_symmetry_space_group_name_H-M 'P 1'
_symmetry_Int_Tables_number 1
loop_
_symmetry_equiv_pos_as_xyz
'x,y,z'
loop_
_atom_site_label
_atom_site_type_symbol
_atom_site_fract_x
_atom_site_fract_y
_atom_site_fract_z
Sn1 Sn 0.122 0.349 0.041
Sn2 Sn 0.349 0.122 0.541
Sn3 Sn 0.651 0.878 0.459
Sn4 Sn 0.878 0.651 0.959
Hg1 Hg 0.065 0.736 0.497
Hg2 Hg 0.155 0.524 0.758
Hg3 Hg 0.264 0.935 0.003
Hg4 Hg 0.476 0.845 0.742
Hg5 Hg 0.524 0.155 0.258
Hg6 Hg 0.736 0.065 0.997
Hg7 Hg 0.845 0.476 0.242
Hg8 Hg 0.935 0.264 0.503
Pb1 Pb 0.008 0.992 0.250
Pb2 Pb 0.312 0.475 0.366
Pb3 Pb 0.475 0.312 0.866
Pb4 Pb 0.525 0.688 0.134
Pb5 Pb 0.688 0.525 0.634
Pb6 Pb 0.992 0.008 0.750
```

Entry 9:
Crystalline SnHgPb2 at its relaxed geometry, computed with PBE-GGA.

Results
Energy relative to the elements ... 0.03 eV/atom
Calculated total energy ... -2.898 eV per atom
Polymorph energy (0 for the lowest one) ... 1.0 kJ/mol of atoms

Cell and atoms, written as CIF:
```
data_SnHgPb2
_cell_length_a 3.452
_cell_length_b 3.452
_cell_length_c 9.917
_cell_angle_alpha 90.00
_cell_angle_beta 90.00
_cell_angle_gamma 99.55
_symmetry_space_group_name_H-M 'P 1'
_symmetry_Int_Tables_number 1
loop_
_symmetry_equiv_pos_as_xyz
'x,y,z'
loop_
_atom_site_label
_atom_site_type_symbol
_atom_site_fract_x
_atom_site_fract_y
_atom_site_fract_z
Sn1 Sn 0.000 0.000 0.000
Hg1 Hg 0.000 0.000 0.500
Pb1 Pb 0.500 0.500 0.252
Pb2 Pb 0.500 0.500 0.748
```

Entry 10:
Crystalline Sn2Hg2Pb7 at its relaxed geometry, computed with PBE-GGA.

Results
Energy relative to the elements ... 0.08 eV/atom
Calculated total energy ... -3.066 eV per atom
Polymorph energy (0 for the lowest one) ... 2.0 kJ/mol of atoms

Cell and atoms, written as CIF:
```
data_Sn2Hg2Pb7
_cell_length_a 7.119
_cell_length_b 7.119
_cell_length_c 7.023
_cell_angle_alpha 101.98
_cell_angle_beta 101.98
_cell_angle_gamma 95.19
_symmetry_space_group_name_H-M 'P 1'
_symmetry_Int_Tables_number 1
loop_
_symmetry_equiv_pos_as_xyz
'x,y,z'
loop_
_atom_site_label
_atom_site_type_symbol
_atom_site_fract_x
_atom_site_fract_y
_atom_site_fract_z
Sn1 Sn 0.242 0.758 0.000
Sn2 Sn 0.758 0.242 0.000
Hg1 Hg 0.185 0.185 0.986
Hg2 Hg 0.815 0.815 0.014
Pb1 Pb 0.000 0.000 0.500
Pb2 Pb 0.107 0.544 0.323
Pb3 Pb 0.403 0.403 0.708
Pb4 Pb 0.456 0.893 0.677
Pb5 Pb 0.544 0.107 0.323
Pb6 Pb 0.597 0.597 0.292
Pb7 Pb 0.893 0.456 0.677
```

Entry 11:
Crystalline SnHg3Pb2 at its relaxed geometry, computed with PBE-GGA.

Results
Energy relative to the elements ... 0.05 eV/atom
Calculated total energy ... -2.003 eV per atom
Polymorph energy (0 for the lowest one) ... 0.0 kJ/mol of atoms

Cell and atoms, written as CIF:
```
data_SnHg3Pb2
_cell_length_a 6.575
_cell_length_b 6.575
_cell_length_c 10.181
_cell_angle_alpha 109.27
_cell_angle_beta 109.27
_cell_angle_gamma 57.24
_symmetry_space_group_name_H-M 'P 1'
_symmetry_Int_Tables_number 1
loop_
_symmetry_equiv_pos_as_xyz
'x,y,z'
loop_
_atom_site_label
_atom_site_type_symbol
_atom_site_fract_x
_atom_site_fract_y
_atom_site_fract_z
Sn1 Sn 0.005 0.995 0.750
Sn2 Sn 0.995 0.005 0.250
Hg1 Hg 0.099 0.644 0.469
Hg2 Hg 0.356 0.901 0.031
Hg3 Hg 0.475 0.525 0.250
Hg4 Hg 0.525 0.475 0.750
Hg5 Hg 0.644 0.099 0.969
Hg6 Hg 0.901 0.356 0.531
Pb1 Pb 0.080 0.513 0.861
Pb2 Pb 0.487 0.920 0.639
Pb3 Pb 0.513 0.080 0.361
Pb4 Pb 0.920 0.487 0.139
```

Entry 12:
Crystalline SnHgPb6 at its relaxed geometry, computed with PBE-GGA.

Results
Energy relative to the elements ... 0.01 eV/atom
Calculated total energy ... -3.308 eV per atom
Polymorph energy (0 for the lowest one) ... 0.0 kJ/mol of atoms

Cell and atoms, written as CIF:
```
data_SnHgPb6
_cell_length_a 7.022
_cell_length_b 7.022
_cell_length_c 4.914
_cell_angle_alpha 90.00
_cell_angle_beta 90.00
_cell_angle_gamma 90.05
_symmetry_space_group_name_H-M 'P 1'
_symmetry_Int_Tables_number 1
loop_
_symmetry_equiv_pos_as_xyz
'x,y,z'
loop_
_atom_site_label
_atom_site_type_symbol
_atom_site_fract_x
_atom_site_fract_y
_atom_site_fract_z
Sn1 Sn 0.000 0.000 0.000
Hg1 Hg 0.500 0.500 0.000
Pb1 Pb 0.000 0.500 0.000
Pb2 Pb 0.250 0.250 0.500
Pb3 Pb 0.250 0.750 0.500
Pb4 Pb 0.500 0.000 0.000
Pb5 Pb 0.750 0.250 0.500
Pb6 Pb 0.750 0.750 0.500
```